Here is an optimized crystal structure of NaTl4Pd5 from Alexandria. Energies are from PBE-GGA.

Geometry as POSCAR:
```
NaTl4Pd5
1.0
8.4886 0.0000 0.0000
0.0000 9.9661 0.0000
0.0000 0.0000 4.9722
Na Tl Pd
2 8 10
direct
0.2500 0.2500 0.0232
0.7500 0.7500 0.9768
0.0194 0.2500 0.5008
0.2500 0.5440 0.7566
0.2500 0.9560 0.7566
0.4806 0.2500 0.5008
0.5194 0.7500 0.4992
0.7500 0.0440 0.2434
0.7500 0.4560 0.2434
0.9806 0.7500 0.4992
0.0825 0.5056 0.2502
0.0825 0.9944 0.2502
0.2500 0.7500 0.1534
0.4175 0.5056 0.2502
0.4175 0.9944 0.2502
0.5825 0.0056 0.7498
0.5825 0.4944 0.7498
0.7500 0.2500 0.8466
0.9175 0.0056 0.7498
0.9175 0.4944 0.7498
```

Values from the calculation:
D(E_F)   3.93 states/eV/f.u.
Energy of formation   -135 meV per atom

***

Here is an optimized crystal structure of Na5Tl2Pd from Alexandria. Energies are from PBE-GGA.

Geometry as POSCAR:
```
Na5Tl2Pd
1.0
2.4164 -5.6197 0.0000
2.4164 5.6197 0.0000
0.0000 0.0000 16.3720
Na Tl Pd
10 4 2
direct
0.0223 0.9777 0.7500
0.1567 0.8433 0.5446
0.1567 0.8433 0.9554
0.4505 0.5495 0.6111
0.4505 0.5495 0.8889
0.5495 0.4505 0.1111
0.5495 0.4505 0.3889
0.8433 0.1567 0.0446
0.8433 0.1567 0.4554
0.9777 0.0223 0.2500
0.2477 0.7523 0.1551
0.2477 0.7523 0.3449
0.7523 0.2477 0.6551
0.7523 0.2477 0.8449
0.2818 0.7182 0.7500
0.7182 0.2818 0.2500
```

Values from the calculation:
D(E_F)   3.17 states/eV/f.u.
Energy above the lowest structure with this stoichiometry   0.0000 eV per atom
Energy of formation   -123 meV per atom

***

no.,raw total energy (eV/f.u.)
1,-38.10
2,-17.51